1.
Computed, not measured: a geometry-optimized Fe4Bi2O9 structure at the PBE+U level of DFT.

space group	Pbam (55)
DOS(E_F)	0.0000	states/eV/atom
uncorrected energy	-184.88	eV for the cell shown
density	6486	kg/m³

abc: 6.011 7.941 8.424
angles: 90.00 90.00 90.00
Element x y z (fractional)
Fe 0.500 0.651 0.669
Fe 0.747 0.000 0.500
Fe 0.747 0.500 0.000
Fe 0.253 0.000 0.500
Fe 0.500 0.349 0.331
Fe 0.500 0.849 0.169
Fe 0.500 0.151 0.831
Fe 0.253 0.500 0.000
O 0.760 0.631 0.800
O 0.000 0.856 0.573
O 0.500 0.626 0.091
O 0.500 0.874 0.591
O 0.240 0.631 0.800
O 0.000 0.356 0.927
O 0.240 0.131 0.700
O 0.240 0.869 0.300
O 0.240 0.369 0.200
O 0.500 0.126 0.409
O 0.760 0.869 0.300
O 0.760 0.131 0.700
O 0.000 0.644 0.073
O 0.500 0.000 0.000
O 0.000 0.144 0.427
O 0.500 0.500 0.500
O 0.500 0.374 0.909
O 0.760 0.369 0.200
Bi 0.000 0.670 0.333
Bi 0.000 0.330 0.667
Bi 0.000 0.170 0.167
Bi 0.000 0.830 0.833


2.
Computed, not measured: a geometry-optimized FeBiO4 structure at the PBE+U level of DFT.

space group	Cmmm (65)
DOS(E_F)	0.1291	states/eV/atom
uncorrected energy	-35.69	eV for the cell shown
density	7186	kg/m³

abc: 3.278 4.815 4.815
angles: 88.43 90.00 90.00
Element x y z (fractional)
O 0.500 0.316 0.684
O 0.500 0.684 0.316
O 0.000 0.797 0.797
O 0.000 0.203 0.203
Bi 0.500 0.000 0.000
Fe 0.000 0.500 0.500


3.
Computed, not measured: a geometry-optimized Fe2BiO structure at the PBE+U level of DFT.

space group	Fm-3m (225)
DOS(E_F)	1.6618	states/eV/atom
uncorrected energy	-17.12	eV for the cell shown
density	8469	kg/m³

abc: 4.536 4.536 4.536
angles: 60.00 60.00 60.00
Element x y z (fractional)
O 0.000 0.000 0.000
Fe 0.750 0.750 0.750
Fe 0.250 0.250 0.250
Bi 0.500 0.500 0.500


4.
Computed, not measured: a geometry-optimized FeBiO3 structure at the PBE+U level of DFT.

space group	R3 (146)
DOS(E_F)	0.0000	states/eV/atom
uncorrected energy	-29.06	eV for the cell shown
density	3804	kg/m³

abc: 5.508 5.508 5.508
angles: 67.30 67.30 67.30
Element x y z (fractional)
O 0.032 0.606 0.178
O 0.606 0.178 0.032
O 0.178 0.032 0.606
Fe 0.277 0.277 0.277
Bi 0.020 0.020 0.020


5.
Computed, not measured: a geometry-optimized FeBi2O6 structure at the PBE+U level of DFT.

space group	P-3 (147)
DOS(E_F)	0.3906	states/eV/atom
uncorrected energy	-50.83	eV for the cell shown
density	9043	kg/m³

abc: 3.809 5.632 5.632
angles: 120.00 90.00 90.00
Element x y z (fractional)
O 0.261 0.640 0.714
O 0.739 0.926 0.640
O 0.261 0.074 0.360
O 0.261 0.286 0.926
O 0.739 0.714 0.074
O 0.739 0.360 0.286
Bi 0.236 0.667 0.333
Bi 0.764 0.333 0.667
Fe 0.500 0.000 0.000


6.
Computed, not measured: a geometry-optimized FeBi2OsO6 structure at the PBE+U level of DFT.

space group	P2_1/c (14)
DOS(E_F)	0.0526	states/eV/atom
uncorrected energy	-130.82	eV for the cell shown
density	9576	kg/m³

abc: 5.611 5.969 7.875
angles: 90.00 92.15 90.00
Element x y z (fractional)
Os 0.000 0.500 0.000
Os 0.500 0.000 0.500
O 0.393 0.962 0.746
O 0.187 0.227 0.062
O 0.107 0.462 0.754
O 0.177 0.168 0.478
O 0.893 0.538 0.246
O 0.323 0.668 0.022
O 0.687 0.273 0.562
O 0.823 0.832 0.522
O 0.813 0.773 0.938
O 0.677 0.332 0.978
O 0.313 0.727 0.438
O 0.607 0.038 0.254
Bi 0.493 0.431 0.231
Bi 0.993 0.069 0.731
Bi 0.507 0.569 0.769
Bi 0.007 0.931 0.269
Fe 0.500 0.000 0.000
Fe 0.000 0.500 0.500


7.
Computed, not measured: a geometry-optimized FeBiP2O8 structure at the PBE+U level of DFT.

space group	I-4m2 (119)
uncorrected energy	-81.79	eV for the cell shown
density	5230	kg/m³

abc: 5.756 5.756 5.756
angles: 105.43 105.43 117.90
Element x y z (fractional)
O 0.906 0.587 0.680
O 0.774 0.094 0.680
O 0.325 0.491 0.166
O 0.325 0.159 0.834
O 0.509 0.675 0.834
O 0.906 0.226 0.320
O 0.413 0.094 0.320
O 0.841 0.675 0.166
P 0.750 0.250 0.500
P 0.500 0.500 0.000
Bi 0.250 0.750 0.500
Fe 0.000 0.000 0.000


8.
Computed, not measured: a geometry-optimized Fe6BiP6O26 structure at the PBE+U level of DFT.

space group	Pm (6)
DOS(E_F)	0.3571	states/eV/atom
uncorrected energy	-271.15	eV for the cell shown
density	3788	kg/m³

abc: 6.402 7.660 10.407
angles: 79.83 90.00 90.00
Element x y z (fractional)
Fe 0.500 0.350 0.808
Fe 0.000 0.642 0.204
Fe 0.746 0.002 0.008
Fe 0.254 0.002 0.008
Fe 0.000 0.221 0.435
Fe 0.500 0.789 0.555
O 0.000 0.211 0.627
O 0.303 0.263 0.431
O 0.694 0.628 0.210
O 0.306 0.628 0.210
O 0.299 0.788 0.904
O 0.000 0.358 0.251
O 0.000 0.656 0.392
O 0.500 0.025 0.585
O 0.000 0.506 0.030
O 0.500 0.492 0.956
O 0.190 0.750 0.583
O 0.000 0.979 0.412
O 0.185 0.380 0.788
O 0.701 0.788 0.904
O 0.500 0.649 0.737
O 0.802 0.209 0.086
O 0.500 0.343 0.619
O 0.500 0.783 0.373
O 0.000 0.084 0.867
O 0.500 0.910 0.130
O 0.500 0.115 0.905
O 0.810 0.750 0.583
O 0.697 0.263 0.431
O 0.000 0.872 0.091
O 0.198 0.209 0.086
O 0.815 0.380 0.788
P 0.500 0.732 0.236
P 0.500 0.683 0.881
P 0.000 0.786 0.487
P 0.000 0.310 0.111
P 0.500 0.222 0.515
P 0.000 0.257 0.762
Bi 0.000 0.646 0.817


9.
Computed, not measured: a geometry-optimized FeBiPO2 structure at the PBE+U level of DFT.

space group	P4/mmm (123)
DOS(E_F)	0.2963	states/eV/atom
uncorrected energy	-26.47	eV for the cell shown
density	7212	kg/m³

abc: 3.941 3.941 4.859
angles: 90.00 90.00 90.00
Element x y z (fractional)
P 0.000 0.000 0.500
Bi 0.500 0.500 0.500
O 0.500 0.000 0.000
O 0.000 0.500 0.000
Fe 0.000 0.000 0.000


10.
Computed, not measured: a geometry-optimized FeBiPO2 structure at the PBE+U level of DFT.

space group	P4/mmm (123)
DOS(E_F)	0.1613	states/eV/atom
uncorrected energy	-23.87	eV for the cell shown
density	6042	kg/m³

abc: 4.069 4.069 5.442
angles: 90.00 90.00 90.00
Element x y z (fractional)
Fe 0.500 0.500 0.500
Bi 0.000 0.000 0.000
P 0.000 0.000 0.500
O 0.500 0.000 0.000
O 0.000 0.500 0.000


11.
Computed, not measured: a geometry-optimized PaFeBiO5 structure at the PBE+U level of DFT.

space group	C2/c (15)
DOS(E_F)	0.0000	states/eV/atom
uncorrected energy	-122.57	eV for the cell shown
density	7855	kg/m³

abc: 6.218 6.218 6.659
angles: 87.81 87.81 108.61
Element x y z (fractional)
O 0.923 0.701 0.770
O 0.178 0.822 0.250
O 0.822 0.178 0.750
O 0.299 0.077 0.730
O 0.477 0.683 0.935
O 0.701 0.923 0.270
O 0.317 0.523 0.565
O 0.523 0.317 0.065
O 0.077 0.299 0.230
O 0.683 0.477 0.435
Fe 0.263 0.737 0.750
Fe 0.737 0.263 0.250
Pa 0.397 0.603 0.250
Pa 0.603 0.397 0.750
Bi 0.000 0.000 0.000
Bi 0.000 0.000 0.500


12.
Computed, not measured: a geometry-optimized PaFe2BiO6 structure at the PBE+U level of DFT.

space group	P4mm (99)
uncorrected energy	-70.86	eV for the cell shown
density	6028	kg/m³

abc: 5.291 5.807 5.807
angles: 90.00 90.00 90.00
Element x y z (fractional)
Fe 0.902 0.000 0.500
Fe 0.902 0.500 0.000
O 0.223 0.000 0.000
O 0.177 0.500 0.500
O 0.771 0.240 0.240
O 0.771 0.760 0.240
O 0.771 0.240 0.760
O 0.771 0.760 0.760
Pa 0.591 0.000 0.000
Bi 0.569 0.500 0.500